LiLaTmPd | GGA-PBE | optimized geometry

Summary:
Calculated volume: 382 Å³/cell
Total magnetic moment: 0.00 μB per cell
Energy: -0.3300 Ry per atom
Density of states at the Fermi level: 11.2 states/eV/cell
Mass density: 7.3 g/cm3

a b c (Å): 7.257 7.257 7.257
angles (deg): 90.00 90.00 90.00
Space group F-43m (No. 216)
Inequivalent atoms, fractional coordinates:
1 Li 0.000 0.000 0.000 (multiplicity 4)
2 La 0.250 0.250 0.250 (multiplicity 4)
3 Tm 0.250 0.250 0.750 (multiplicity 4)
4 Pd 0.000 0.000 0.500 (multiplicity 4)

LaCu3Ge | GGA-PBE | optimized geometry

Summary:
Calculated volume: 138 Å³/cell
Total magnetic moment: 0.00 μB per cell
Energy: -0.2253 Ry per atom
Density of states at the Fermi level: 4.7 states/eV/cell
Mass density: 4.8 g/cm3
Energy above the lowest structure with this stoichiometry: 1639 meV/atom

a b c (Å): 5.167 5.167 5.167
angles (deg): 90.00 90.00 90.00
Space group Pm-3m (No. 221)
Inequivalent atoms, fractional coordinates:
1 La 0.000 0.000 0.000 (multiplicity 1)
2 Cu 0.000 0.000 0.500 (multiplicity 3)
3 Ge 0.500 0.500 0.500 (multiplicity 1)

YCu2Ni2Ge | GGA-PBE | optimized geometry

Summary:
Calculated volume: 103 Å³/cell
Total magnetic moment: 0.00 μB per cell
Energy: -0.3760 Ry per atom
Density of states at the Fermi level: 5.4 states/eV/cell
Mass density: 6.5 g/cm3

a b c (Å): 4.340 4.340 5.465
angles (deg): 90.00 90.00 90.00
Space group P4/mmm (No. 123)
Inequivalent atoms, fractional coordinates:
1 Y 0.000 0.000 0.000 (multiplicity 1)
2 Cu 0.500 0.500 0.240 (multiplicity 2)
3 Ni 0.000 0.500 0.500 (multiplicity 2)
4 Ge 0.000 0.000 0.500 (multiplicity 1)

Ag2WBr | GGA-PBE | optimized geometry

Summary:
Calculated volume: 236 Å³/cell
Formation energy from raw total energies: 0.452 eV per atom
Total magnetic moment: 0.00 μB per cell
Energy: -0.3403 Ry per atom
Density of states at the Fermi level: 3.4 states/eV/cell
Mass density: 10.1 g/cm3
Energy above the lowest structure with this stoichiometry: 0 meV/atom

a b c (Å): 3.0633 3.0633 29.0680
angles (deg): 90.00 90.00 120.00
Space group R3m (No. 160, hexagonal axes)
Inequivalent atoms, fractional coordinates:
1 Ag 0.0000 0.0000 0.0000 (multiplicity 3)
2 Ag 0.0000 0.0000 0.2551 (multiplicity 3)
3 W 0.0000 0.0000 0.5104 (multiplicity 3)
4 Br 0.0000 0.0000 0.7782 (multiplicity 3)

Tb2YMgHg4 | GGA-PBE | optimized geometry

Summary:
Calculated volume: 595 Å³/cell
Total magnetic moment: 0.00 μB per cell
Energy: -0.2054 Ry per atom
Density of states at the Fermi level: 10.0 states/eV/cell
Mass density: 10.3 g/cm3

a b c (Å): 5.1691 5.1691 25.7130
angles (deg): 90.00 90.00 120.00
Space group R-3m (No. 166, hexagonal axes)
Inequivalent atoms, fractional coordinates:
1 Tb 0.0000 0.0000 0.2453 (multiplicity 6)
2 Y 0.0000 0.0000 0.0000 (multiplicity 3)
3 Mg 0.0000 0.0000 0.5000 (multiplicity 3)
4 Hg 0.0000 0.0000 0.1246 (multiplicity 6)
5 Hg 0.0000 0.0000 0.3736 (multiplicity 6)

Zr2SbBr | GGA-PBE | optimized geometry

Summary:
Calculated volume: 184 Å³/cell
Formation energy from raw total energies: -0.330 eV per atom
Total magnetic moment: 0.00 μB per cell
Energy: -0.4448 Ry per atom
Density of states at the Fermi level: 4.8 states/eV/cell
Mass density: 6.9 g/cm3
Energy above the lowest structure with this stoichiometry: 228 meV/atom

a b c (Å): 8.809 3.349 6.363
angles (deg): 90.00 101.48 90.00
Space group C2/m (No. 12)
Inequivalent atoms, fractional coordinates:
1 Zr 0.250 0.000 0.226 (multiplicity 4)
2 Sb 0.000 0.000 0.500 (multiplicity 2)
3 Br 0.000 0.500 0.000 (multiplicity 2)

MgHgOs2 | GGA-PBE | optimized geometry

Summary:
Calculated volume: 204 Å³/cell
Total magnetic moment: 0.00 μB per cell
Energy: -0.4225 Ry per atom
Density of states at the Fermi level: 11.7 states/eV/cell
Mass density: 14.8 g/cm3
Energy above the lowest structure with this stoichiometry: 151 meV/atom

a b c (Å): 2.8819 2.8819 28.3437
angles (deg): 90.00 90.00 120.00
Space group R3m (No. 160, hexagonal axes)
Inequivalent atoms, fractional coordinates:
1 Mg 0.0000 0.0000 0.0000 (multiplicity 3)
2 Hg 0.0000 0.0000 0.2402 (multiplicity 3)
3 Os 0.0000 0.0000 0.4833 (multiplicity 3)
4 Os 0.0000 0.0000 0.7464 (multiplicity 3)

PmPaZnO6 | GGA-PBE | optimized geometry

Summary:
Calculated volume: 128 Å³/cell
Formation energy from raw total energies: -2.362 eV per atom
Total magnetic moment: 0.01 μB per cell
Energy: -0.5433 Ry per atom
Density of states at the Fermi level: 9.8 states/eV/cell
Mass density: 7.0 g/cm3

a b c (Å): 5.4867 5.4867 4.9138
angles (deg): 90.00 90.00 120.00
Space group P312 (No. 149)
Inequivalent atoms, fractional coordinates:
1 Pm 0.0000 0.0000 0.0000 (multiplicity 1)
2 Pa 0.6667 0.3333 0.5000 (multiplicity 1)
3 Zn 0.3333 0.6667 0.0000 (multiplicity 1)
4 O 0.0006 0.3663 0.2441 (multiplicity 6)

ThSnCl6 | GGA-PBE | optimized geometry

Summary:
Calculated volume: 531 Å³/cell
Formation energy from raw total energies: -1.712 eV per atom
Total magnetic moment: 0.00 μB per cell
Energy: -0.3325 Ry per atom
Density of states at the Fermi level: 0.0 states/eV/cell
Mass density: 3.5 g/cm3

a b c (Å): 6.8889 6.8889 12.9134
angles (deg): 90.00 90.00 120.00
Space group P-31c (No. 163)
Inequivalent atoms, fractional coordinates:
1 Th 0.0000 0.0000 0.0000 (multiplicity 2)
2 Sn 0.3333 0.6667 0.2500 (multiplicity 2)
3 Cl 0.0016 0.3208 0.1209 (multiplicity 12)

LaTbBiO2 | GGA-PBE | optimized geometry

Summary:
Calculated volume: 223 Å³/cell
Formation energy from raw total energies: -2.671 eV per atom
Total magnetic moment: 0.00 μB per cell
Energy: -0.5396 Ry per atom
Density of states at the Fermi level: 3.4 states/eV/cell
Mass density: 8.0 g/cm3

a b c (Å): 3.993 3.993 13.992
angles (deg): 90.00 90.00 90.00
Space group I4mm (No. 107)
Inequivalent atoms, fractional coordinates:
1 La 0.000 0.000 0.000 (multiplicity 2)
2 Tb 0.000 0.000 0.333 (multiplicity 2)
3 Bi 0.000 0.000 0.671 (multiplicity 2)
4 O 0.000 0.500 0.410 (multiplicity 4)

CrCdPt | GGA-PBE | optimized geometry

Summary:
Calculated volume: 60 Å³/cell
Total magnetic moment: 2.86 μB per cell
Energy: -0.3903 Ry per atom
Density of states at the Fermi level: 2.6 states/eV/cell
Mass density: 10.0 g/cm3
Energy above the lowest structure with this stoichiometry: 198 meV/atom

a b c (Å): 2.822 4.037 5.223
angles (deg): 90.00 90.00 90.00
Space group Pmm2 (No. 25)
Inequivalent atoms, fractional coordinates:
1 Cr 0.000 0.000 0.000 (multiplicity 1)
2 Cd 0.500 0.000 0.528 (multiplicity 1)
3 Pt 0.500 0.500 0.137 (multiplicity 1)

ZrIr2N | GGA-PBE | optimized geometry

Summary:
Calculated volume: 276 Å³/cell
Formation energy from raw total energies: 0.073 eV per atom
Total magnetic moment: 0.00 μB per cell
Energy: -0.6303 Ry per atom
Density of states at the Fermi level: 14.7 states/eV/cell
Mass density: 11.8 g/cm3

a b c (Å): 5.691 5.691 8.534
angles (deg): 90.00 90.00 90.00
Space group I-42d (No. 122)
Inequivalent atoms, fractional coordinates:
1 Zr 0.000 0.000 0.000 (multiplicity 4)
2 Ir 0.138 0.250 0.625 (multiplicity 8)
3 N 0.000 0.000 0.500 (multiplicity 4)

Ba2Hg5Bi3 | GGA-PBE | optimized geometry

Summary:
Calculated volume: 1342 Å³/cell
Total magnetic moment: 0.00 μB per cell
Energy: -0.1523 Ry per atom
Density of states at the Fermi level: 11.5 states/eV/cell
Mass density: 9.4 g/cm3

a b c (Å): 11.764 15.740 7.248
angles (deg): 90.00 90.00 90.00
Space group Ibam (No. 72)
Inequivalent atoms, fractional coordinates:
1 Ba 0.241 0.126 0.000 (multiplicity 8)
2 Hg 0.000 0.261 0.250 (multiplicity 8)
3 Hg 0.000 0.500 0.250 (multiplicity 4)
4 Hg 0.110 0.140 0.500 (multiplicity 8)
5 Bi 0.000 0.000 0.250 (multiplicity 4)
6 Bi 0.141 0.380 0.000 (multiplicity 8)

PmNd2Si2 | GGA-PBE | optimized geometry

Summary:
Calculated volume: 262 Å³/cell
Formation energy from raw total energies: -0.642 eV per atom
Total magnetic moment: 0.00 μB per cell
Energy: -0.4166 Ry per atom
Density of states at the Fermi level: 10.6 states/eV/cell
Mass density: 6.2 g/cm3
Energy above the lowest structure with this stoichiometry: 0 meV/atom

a b c (Å): 7.749 7.749 4.359
angles (deg): 90.00 90.00 90.00
Space group P4/mbm (No. 127)
Inequivalent atoms, fractional coordinates:
1 Pm 0.000 0.000 0.000 (multiplicity 2)
2 Nd 0.177 0.323 0.500 (multiplicity 4)
3 Si 0.112 0.612 0.000 (multiplicity 4)

Ac2HgPt | GGA-PBE | optimized geometry

Summary:
Calculated volume: 120 Å³/cell
Total magnetic moment: 0.00 μB per cell
Energy: -0.3230 Ry per atom
Density of states at the Fermi level: 3.5 states/eV/cell
Mass density: 11.7 g/cm3
Energy above the lowest structure with this stoichiometry: 67 meV/atom

a b c (Å): 3.872 3.872 8.026
angles (deg): 90.00 90.00 90.00
Space group P4/mmm (No. 123)
Inequivalent atoms, fractional coordinates:
1 Ac 0.000 0.000 0.225 (multiplicity 2)
2 Hg 0.500 0.500 0.500 (multiplicity 1)
3 Pt 0.500 0.500 0.000 (multiplicity 1)

Pm3P2Br | GGA-PBE | optimized geometry

Summary:
Calculated volume: 750 Å³/cell
Formation energy from raw total energies: -1.187 eV per atom
Total magnetic moment: 3.94 μB per cell
Energy: -0.4148 Ry per atom
Density of states at the Fermi level: 14.3 states/eV/cell
Mass density: 5.1 g/cm3

a b c (Å): 4.127 15.680 11.594
angles (deg): 90.00 90.00 90.00
Space group Cmcm (No. 63)
Inequivalent atoms, fractional coordinates:
1 Pm 0.000 0.003 0.250 (multiplicity 4)
2 Pm 0.000 0.377 0.515 (multiplicity 8)
3 P 0.000 0.000 0.000 (multiplicity 4)
4 P 0.000 0.374 0.750 (multiplicity 4)
5 Br 0.000 0.353 0.250 (multiplicity 4)